Density functional theory data (SCAN) for a PBEsol-optimized structure of ScIn2TeMo.

a b c (Å): 5.4769 5.4769 4.9005
angles (deg): 90.00 90.00 90.00
With the nearest neighbours (Å) after each atom.
Space group P4/mmm (No. 123)
Asymmetric unit:
Sc (0.0000, 0.0000, 0.0000) (multiplicity 1)  8 In 3.67, 4 Mo 3.87
In (0.0000, 0.5000, 0.5000) (multiplicity 2)  2 Te 2.74
Te (0.5000, 0.5000, 0.5000) (multiplicity 1)  2 Mo 2.45, 4 In 2.74
Mo (0.5000, 0.5000, 0.0000) (multiplicity 1)  2 Te 2.45

Calculated values
DOS(E_F) = 4.22 states/eV per cell
Final energy = -29.51 eV per atom
E_form (uncorrected) = 1.120 eV per atom
Spin magnetization = 1.530 μB per cell

=====

Density functional theory data (SCAN) for a PBEsol-optimized structure of SrInAg.

a b c (Å): 7.0555 7.0555 7.0555
angles (deg): 90.00 90.00 90.00
With the nearest neighbours (Å) after each atom.
Space group F-43m (No. 216)
Asymmetric unit:
Sr (0.0000, 0.0000, 0.0000) (multiplicity 4)  4 Ag 3.06
In (0.0000, 0.0000, 0.5000) (multiplicity 4)  4 Ag 3.06
Ag (0.2500, 0.2500, 0.7500) (multiplicity 4)  4 In 3.06, 4 Sr 3.06

Calculated values
DOS(E_F) = 12.36 states/eV per cell
Final energy = -29.28 eV per atom
Formation energy from the elements = -0.27 eV per atom
Spin magnetization = 0.000 μB per cell

=====

Density functional theory data (SCAN) for a PBEsol-optimized structure of SrLiRe.

a b c (Å): 6.5407 6.5407 6.5407
angles (deg): 90.00 90.00 90.00
With the nearest neighbours (Å) after each atom.
Space group F-43m (No. 216)
Asymmetric unit:
Sr (0.0000, 0.0000, 0.0000) (multiplicity 4)  4 Li 2.83
Li (0.2500, 0.2500, 0.7500) (multiplicity 4)  4 Re 2.83, 4 Sr 2.83
Re (0.0000, 0.0000, 0.5000) (multiplicity 4)  4 Li 2.83

Calculated values
DOS(E_F) = 10.98 states/eV per cell
Final energy = -30.38 eV per atom
Formation energy from the elements = 1.54 eV per atom
Spin magnetization = 9.643 μB per cell
E above lowest polymorph = 1.87 eV/f.u.

=====

Density functional theory data (SCAN) for a PBEsol-optimized structure of CrB3Rh.

a b c (Å): 3.7423 3.7423 3.7423
angles (deg): 90.00 90.00 90.00
With the nearest neighbours (Å) after each atom.
Space group Pm-3m (No. 221)
Asymmetric unit:
Cr (0.0000, 0.0000, 0.0000) (multiplicity 1)  6 B 1.87
B (0.0000, 0.0000, 0.5000) (multiplicity 3)  2 Cr 1.87
Rh (0.5000, 0.5000, 0.5000) (multiplicity 1)  12 B 2.65

Calculated values
DOS(E_F) = 1.99 states/eV per cell
Final energy = -13.71 eV per atom
Formation energy from the elements = 1.18 eV per atom
Spin magnetization = 2.349 μB per cell

=====

Density functional theory data (SCAN) for a PBEsol-optimized structure of Sr2LiIr.

a b c (Å): 4.2684 4.2684 26.1196
angles (deg): 90.00 90.00 120.00
With the nearest neighbours (Å) after each atom.
Space group R-3m (No. 166, hexagonal axes)
Asymmetric unit:
Sr (0.0000, 0.0000, 0.2254) (multiplicity 6)  3 Ir 2.90
Li (0.0000, 0.0000, 0.0000) (multiplicity 3)  6 Sr 3.74
Ir (0.0000, 0.0000, 0.5000) (multiplicity 3)  6 Sr 2.90

Calculated values
DOS(E_F) = 4.13 states/eV per cell
Final energy = -29.43 eV per atom
Formation energy from the elements = 0.08 eV per atom
Spin magnetization = 0.069 μB per cell

=====

Density functional theory data (SCAN) for a PBEsol-optimized structure of Sr2TcBr.

a b c (Å): 5.2585 3.5302 11.6001
angles (deg): 90.00 90.00 90.00
With the nearest neighbours (Å) after each atom.
Space group Amm2 (No. 38)
Asymmetric unit:
Sr (0.0000, 0.0000, 0.0000) (multiplicity 2)  3 Br 3.09-3.24, 4 Tc 3.17
Sr (0.5000, 0.0000, 0.2631) (multiplicity 2)  1 Tc 2.96, 4 Br 3.18
Tc (0.5000, 0.0000, 0.5187) (multiplicity 2)  5 Sr 2.96-3.17
Br (0.0000, 0.0000, 0.7339) (multiplicity 2)  7 Sr 3.09-3.24

Calculated values
DOS(E_F) = 2.96 states/eV per cell
Final energy = -24.85 eV per atom
E_form (uncorrected) = -0.086 eV per atom
Spin magnetization = 3.923 μB per cell

=====

Density functional theory data (SCAN) for a PBEsol-optimized structure of TaMn.

a b c (Å): 3.1077 4.5526 3.9922
angles (deg): 90.00 90.00 90.00
With the nearest neighbours (Å) after each atom.
Space group Cmmm (No. 65)
Asymmetric unit:
Ta (0.0000, 0.0000, 0.0000) (multiplicity 2)  4 Mn 2.53, 4 Ta 2.76
Mn (0.0000, 0.5000, 0.5000) (multiplicity 2)  4 Ta 2.53, 4 Mn 2.76

Calculated values
DOS(E_F) = 3.25 states/eV per cell
Final energy = -42.35 eV per atom
Formation energy from the elements = 0.07 eV per atom
Spin magnetization = 1.576 μB per cell

=====

Density functional theory data (SCAN) for a PBEsol-optimized structure of TlOsSCl2.

a b c (Å): 5.1590 5.1590 5.0562
angles (deg): 90.00 90.00 90.00
With the nearest neighbours (Å) after each atom.
Space group P4/mmm (No. 123)
Asymmetric unit:
Tl (0.0000, 0.0000, 0.0000) (multiplicity 1)  2 S 2.53, 4 Cl 2.58
Os (0.5000, 0.5000, 0.5000) (multiplicity 1)  8 Cl 3.61, 4 S 3.65
S (0.0000, 0.0000, 0.5000) (multiplicity 1)  2 Tl 2.53
Cl (0.0000, 0.5000, 0.0000) (multiplicity 2)  2 Tl 2.58

Calculated values
DOS(E_F) = 2.06 states/eV per cell
Final energy = -32.77 eV per atom
E_form (uncorrected) = 1.198 eV per atom
Spin magnetization = 4.675 μB per cell